Here is an optimized crystal structure of Pr8Ge5Au from the Alexandria database. Energies are from PBE.

Computed properties:
- DFT formation energy: -0.754 eV/atom
- M_tot: 0.00 μB/cell
- DFT total energy: -5.37 eV per atom
- DOS(E_F): 9.854 states/eV per cell

```
Pr8Ge5Au
1.0
-4.616 4.616 4.653
4.616 -4.616 4.653
4.616 4.616 -4.653
Pr Ge Au
8 5 1
direct
0.001 0.884 0.257
0.116 0.373 0.116
0.122 0.376 0.614
0.256 0.999 0.884
0.493 0.878 0.254
0.624 0.238 0.746
0.627 0.744 0.743
0.762 0.507 0.386
0.250 0.750 0.500
0.376 0.252 0.374
0.748 0.122 0.124
0.878 0.002 0.626
0.998 0.624 0.876
0.500 0.500 0.000
```